# 1
{"formula": "K2Na7Cd", "functional": "PBE", "state": "relaxed", "e_form_kj_per_mol_atoms": 8.1, "volume_a3_per_atom": 47.00, "cell": [[-8.0660, -2.6806, -1.9791], [-2.1015, -8.4370, 0.7507], [-5.4105, -2.6024, 6.3338]], "species": ["Cd", "Na", "Na", "Na", "Na", "Na", "Na", "Na", "K", "K"], "fractional_positions": [[0.0000, 0.0000, 0.0000], [0.2419, 0.7581, 0.2419], [0.2419, 0.2419, 0.7581], [0.7581, 0.7581, 0.2419], [0.2419, 0.7581, 0.7581], [0.7581, 0.2419, 0.7581], [0.5000, 0.5000, 0.5000], [0.7581, 0.2419, 0.2419], [0.7500, 0.7500, 0.7500], [0.2500, 0.2500, 0.2500]]}


# 2
{"formula": "ThTl2Cu2Te4", "functional": "PBE", "state": "relaxed", "e_form_raw_mev_per_atom": -556, "volume_a3_per_atom": 31.07, "cell": [[-4.3814, -0.0387, 0.0762], [2.0727, -1.8251, -7.7580], [0.1427, -7.1745, 4.5620]], "species": ["Te", "Te", "Te", "Te", "Tl", "Tl", "Cu", "Cu", "Th"], "fractional_positions": [[0.4758, 0.9516, 0.2456], [0.7947, 0.5894, 0.8127], [0.5242, 0.0484, 0.7544], [0.2053, 0.4106, 0.1873], [0.1398, 0.2795, 0.5722], [0.8602, 0.7205, 0.4278], [0.6813, 0.3626, 0.9946], [0.3187, 0.6374, 0.0054], [0.0000, 0.0000, 0.0000]]}


# 3
{"formula": "TaBeS2N", "functional": "PBE", "state": "relaxed", "e_form_raw_mev_per_atom": 303, "volume_a3_per_atom": 12.77, "polymorph_energy_mev_per_atom": 0, "cell": [[-1.6742, -3.6443, -2.0754], [-0.2199, -2.1553, 3.9621], [-2.9051, 1.0891, 0.4312]], "species": ["S", "S", "Be", "Ta", "N"], "fractional_positions": [[0.0000, 0.5000, 0.0000], [0.5000, 0.0000, 0.0000], [0.0000, 0.0000, 0.0000], [0.5000, 0.5000, 0.5000], [0.0000, 0.0000, 0.5000]]}


no.,M_tot (μB/atom),DFT total energy (eV per atom)
1,0.000,-1.1508
2,0.000,-4.2129
3,0.000,-6.1283